No. 1
Computed, not measured: an optimized crystal structure of CsMoI2O at the PBE with a Hubbard U level of DFT.

POSCAR file:
```
CsMoI2O
1.0
7.014 0.000 0.000
0.000 7.014 0.000
0.000 0.000 4.385
Cs Mo I O
1 1 2 1
direct
0.000 0.000 0.000
0.500 0.500 0.500
0.000 0.500 0.000
0.500 0.000 0.000
0.000 0.000 0.500
```

## Properties
N(E_F) ... 1.378 states/eV per atom
ΔE to the lowest computed polymorph ... 7.37 eV/f.u.
Crystal system ... tetragonal


No. 2
Computed, not measured: an optimized crystal structure of CsMoIO2 at the PBE with a Hubbard U level of DFT.

POSCAR file:
```
CsMoIO2
1.0
4.421 0.000 0.000
0.000 4.421 0.000
0.000 0.000 7.483
Cs Mo I O
1 1 1 2
direct
0.000 0.000 0.000
0.500 0.500 0.500
0.000 0.000 0.500
0.000 0.500 0.000
0.500 0.000 0.000
```

## Properties
N(E_F) ... 0.276 states/eV per atom
ΔE to the lowest computed polymorph ... 6.26 eV/f.u.
Crystal system ... tetragonal


No. 3
Computed, not measured: an optimized crystal structure of CsMoIO2 at the PBE with a Hubbard U level of DFT.

POSCAR file:
```
CsMoIO2
1.0
4.443 0.000 0.000
0.000 4.443 0.000
0.000 0.000 5.738
Cs Mo I O
1 1 1 2
direct
0.000 0.000 0.000
0.500 0.500 0.500
0.500 0.500 0.000
0.000 0.500 0.500
0.500 0.000 0.500
```

## Properties
N(E_F) ... 0.314 states/eV per atom
ΔE to the lowest computed polymorph ... 0.00 eV/f.u.
Crystal system ... tetragonal